[1]
A plane-wave DFT calculation with PBE was carried out for Pm3DyYSc after structural relaxation.

Cell and atoms, written as extended XYZ:
```
12
Lattice="5.052 0.000 0.000 0.000 7.839 -1.141 0.000 -3.295 10.121" Properties=species:S:1:pos:R:3 pbc="T T T"
Pm 3.789 6.715 -0.547
Pm 1.263 -2.171 9.527
Pm 1.263 3.465 3.915
Pm 3.789 1.079 5.065
Pm 3.789 2.311 1.690
Pm 1.263 2.233 7.290
Dy 1.263 4.516 0.579
Dy 3.789 0.028 8.401
Y 1.263 -0.025 2.871
Y 3.789 4.569 6.108
Sc 1.263 -1.111 6.144
Sc 3.789 5.655 2.836
```

[2]
A plane-wave DFT calculation with PBE was carried out for RbMg2B after structural relaxation.

Cell and atoms, written as extended XYZ:
```
8
Lattice="-0.184 -2.678 5.295 5.306 -3.357 0.138 3.955 3.950 3.696" Properties=species:S:1:pos:R:3 pbc="T T T"
Mg 1.466 -0.150 4.516
Mg 6.044 -0.611 2.511
Mg 3.199 0.887 2.343
Mg 8.669 0.017 4.285
B 0.974 -1.738 6.148
B 0.898 0.219 2.222
Rb 4.938 0.816 5.856
Rb 3.420 -3.535 4.544
```

[3]
A plane-wave DFT calculation with PBE was carried out for Sm5HoTh after structural relaxation.

Cell and atoms, written as extended XYZ:
```
14
Lattice="9.815 0.000 0.000 -4.908 4.361 0.287 0.000 4.153 11.271" Properties=species:S:1:pos:R:3 pbc="T T T"
Sm -1.791 2.488 1.986
Sm 6.365 2.938 5.318
Sm 1.791 4.564 7.621
Sm 1.527 1.038 2.818
Sm 1.458 3.499 0.605
Sm 3.450 5.015 10.953
Sm 8.288 3.115 8.453
Sm 3.116 3.950 3.937
Sm -1.458 5.576 6.240
Sm 6.699 6.026 9.572
Ho 4.928 1.038 2.818
Ho 4.887 3.115 8.453
Th 0.000 0.000 0.000
Th 0.000 2.077 5.636
```

no.,V (Å³/f.u.),DOS at the Fermi energy (states/eV/cell),energy relative to the elements (kcal/mol of atoms)
1,190.9,18.33,0.9
2,117.4,1.90,8.5
3,235.4,19.70,3.2